## Mg2TcGe4 (PBE)

Data for a relaxed structure of Mg2TcGe4.

It has space group I4/mmm (No. 139), with a = 4.850 Å, b = 4.850 Å, c = 13.415 Å, α = 90.00°, β = 90.00° and γ = 90.00°. The asymmetric unit holds Mg at (0.000, 0.000, 0.120), Tc at (0.000, 0.000, 0.500), Ge at (0.000, 0.000, 0.312) and Ge at (0.000, 0.500, 0.000).

For the formation energy, the calculation gives 0.30 eV/atom. Its density of states at the Fermi level is 0.840 states/eV per atom. The magnetic moment is 0.00 μB/cell.